Entry from Alexandria: crystalline Sc2Cd2Br at its relaxed geometry (GGA-PBE).

Values from the calculation:
total energy	-36.5	eV for the cell shown

Lattice parameters (Å, degrees): 7.091 7.091 4.815 90.00 90.00 90.00
Fractional coordinates of all 10 atoms:
Sc  0.342  0.842  0.000
Sc  0.842  0.658  0.000
Sc  0.658  0.158  0.000
Sc  0.158  0.342  0.000
Br  0.000  0.000  0.000
Br  0.500  0.500  0.000
Cd  0.143  0.643  0.500
Cd  0.643  0.857  0.500
Cd  0.857  0.357  0.500
Cd  0.357  0.143  0.500

Entry from Alexandria: crystalline ScCd3Br at its relaxed geometry (GGA-PBE).

Values from the calculation:
energy above the lowest structure with this stoichiometry	287	meV per atom

Lattice parameters (Å, degrees): 5.505 5.505 5.505 90.00 90.00 90.00
Each line ends with the local moment (μB).
Fractional coordinates of all 5 atoms:
Sc  0.500  0.500  0.500  0.62
Br  0.000  0.000  0.000  0.04
Cd  0.000  0.500  0.000  0.01
Cd  0.000  0.000  0.500  0.00
Cd  0.500  0.000  0.000  0.02

Entry from Alexandria: crystalline Sc2CdBr at its relaxed geometry (GGA-PBE).

Values from the calculation:
energy above the lowest structure with this stoichiometry	0	meV per atom

Lattice parameters (Å, degrees): 3.438 3.638 7.888 89.93 90.00 90.00
Each line ends with the local moment (μB).
Fractional coordinates of all 4 atoms:
Br  0.500  0.250  0.250  0.00
Cd  0.500  0.750  0.750  0.01
Sc  0.000  0.249  0.966  0.21
Sc  0.000  0.251  0.534  0.21

Entry from Alexandria: crystalline ScCdBr at its relaxed geometry (GGA-PBE).

Values from the calculation:
energy above the lowest structure with this stoichiometry	671	meV per atom

Lattice parameters (Å, degrees): 4.835 4.835 4.835 60.00 60.00 60.00
Fractional coordinates of all 3 atoms:
Br  0.250  0.250  0.250
Cd  0.000  0.000  0.000
Sc  0.500  0.500  0.500